A geometry-optimized CaReSe2N structure, computed with PBE.

Unit cell a=5.4260 b=5.4260 c=4.3563 alpha=90.00 beta=90.00 gamma=90.00
Site moments in Bohr magnetons follow the coordinates.
Element x y z (fractional)
1 Re 0.5000 0.5000 0.5000  3.84
2 Ca 0.0000 0.0000 0.0000  -0.02
3 Se 0.0000 0.5000 0.0000  -0.22
4 Se 0.5000 0.0000 0.0000  -0.22
5 N 0.0000 0.0000 0.5000  -1.32

Values from the calculation:
The symmetry is P4/mmm (123). The value obtained for the raw total energy is -22.1 eV per cell. As for the uncorrected formation energy: 1.52 eV/atom.